<P>
## TiTeI2O (PBE)

Data for a relaxed structure of TiTeI2O.

Summary:
Space-group type: P4/mmm
Total moment: 0.00 μB per atom

a = 5.370 Å, b = 5.370 Å, c = 5.348 Å
α = 90.00°, β = 90.00°, γ = 90.00°
Sites, in units of the cell vectors:
I 0.000 0.500 0.000
I 0.500 0.000 0.000
O 0.500 0.500 0.500
Ti 0.000 0.000 0.000
Te 0.000 0.000 0.500

<Q>
## TiTeI2O (PBE)

Data for a relaxed structure of TiTeI2O.

Summary:
Space-group type: P4/mmm
Total moment: 0.00 μB per atom

a = 5.804 Å, b = 5.804 Å, c = 3.759 Å
α = 90.00°, β = 90.00°, γ = 90.00°
Sites, in units of the cell vectors:
Ti 0.000 0.000 0.000
I 0.500 0.000 0.000
I 0.000 0.500 0.000
Te 0.500 0.500 0.500
O 0.000 0.000 0.500

Going by the energies, <Q> is most stable and the next is 1.126 eV/atom up.

<P>
## YTeI2O (PBE)

Data for a relaxed structure of YTeI2O.

Summary:
Space-group type: P4/mmm
Total moment: 0.31 μB per atom

a = 5.947 Å, b = 5.947 Å, c = 6.088 Å
α = 90.00°, β = 90.00°, γ = 90.00°
Each line ends with the local moment (μB).
Sites, in units of the cell vectors:
I 0.500 0.000 0.000  0.06
I 0.000 0.500 0.000  0.06
Te 0.000 0.000 0.500  0.59
Y 0.000 0.000 0.000  -0.02
O 0.500 0.500 0.500  0.21

<Q>
## YTeI2O (PBE)

Data for a relaxed structure of YTeI2O.

Summary:
Space-group type: P4/mmm
Total moment: 0.00 μB per atom

a = 6.245 Å, b = 6.245 Å, c = 4.140 Å
α = 90.00°, β = 90.00°, γ = 90.00°
Sites, in units of the cell vectors:
Te 0.500 0.500 0.500
O 0.000 0.000 0.500
I 0.000 0.500 0.000
I 0.500 0.000 0.000
Y 0.000 0.000 0.000

Going by the energies, <Q> is most stable and the next is 0.955 eV/atom up.

<P>
## YTeI2O (PBE)

Data for a relaxed structure of YTeI2O.

Summary:
Space-group type: P4/mmm
Total moment: 0.09 μB per atom

a = 6.227 Å, b = 6.227 Å, c = 4.060 Å
α = 90.00°, β = 90.00°, γ = 90.00°
Each line ends with the local moment (μB).
Sites, in units of the cell vectors:
I 0.000 0.500 0.000  -0.01
I 0.500 0.000 0.000  -0.01
Y 0.500 0.500 0.500  0.22
O 0.000 0.000 0.500  0.00
Te 0.000 0.000 0.000  0.01

<Q>
## YTeI2O (PBE)

Data for a relaxed structure of YTeI2O.

Summary:
Space-group type: P4/mmm
Total moment: 0.00 μB per atom

a = 5.369 Å, b = 5.369 Å, c = 4.511 Å
α = 90.00°, β = 90.00°, γ = 90.00°
Sites, in units of the cell vectors:
I 0.500 0.000 0.000
I 0.000 0.500 0.000
Y 0.500 0.500 0.500
Te 0.000 0.000 0.500
O 0.000 0.000 0.000

Going by the energies, <Q> is most stable and the next is 0.028 eV/atom up.

<P>
## YTe2IO (PBE)

Data for a relaxed structure of YTe2IO.

Summary:
Space-group type: P4/mmm
Total moment: 0.68 μB per atom

a = 5.945 Å, b = 5.945 Å, c = 5.964 Å
α = 90.00°, β = 90.00°, γ = 90.00°
Each line ends with the local moment (μB).
Sites, in units of the cell vectors:
Te 0.500 0.000 0.000  0.41
Te 0.000 0.500 0.000  0.41
Y 0.000 0.000 0.000  -0.02
I 0.000 0.000 0.500  0.14
O 0.500 0.500 0.500  1.36

<Q>
## YTe2IO (PBE)

Data for a relaxed structure of YTe2IO.

Summary:
Space-group type: P4/mmm
Total moment: 0.00 μB per atom

a = 4.587 Å, b = 4.587 Å, c = 6.009 Å
α = 90.00°, β = 90.00°, γ = 90.00°
Sites, in units of the cell vectors:
I 0.000 0.000 0.500
Te 0.000 0.500 0.000
Te 0.500 0.000 0.000
O 0.000 0.000 0.000
Y 0.500 0.500 0.500

Going by the energies, <Q> is most stable and the next is 0.640 eV/atom up.

<P>
## ZnTeIO2 (PBE)

Data for a relaxed structure of ZnTeIO2.

Summary:
Space-group type: P4/mmm
Total moment: 0.00 μB per atom

a = 4.211 Å, b = 4.211 Å, c = 5.378 Å
α = 90.00°, β = 90.00°, γ = 90.00°
Sites, in units of the cell vectors:
Te 0.500 0.500 0.500
Zn 0.000 0.000 0.000
O 0.500 0.000 0.000
O 0.000 0.500 0.000
I 0.000 0.000 0.500

<Q>
## ZnTeIO2 (PBE)

Data for a relaxed structure of ZnTeIO2.

Summary:
Space-group type: P4/mmm
Total moment: 0.00 μB per atom

a = 4.093 Å, b = 4.093 Å, c = 7.361 Å
α = 90.00°, β = 90.00°, γ = 90.00°
Sites, in units of the cell vectors:
I 0.000 0.000 0.500
O 0.000 0.500 0.000
O 0.500 0.000 0.000
Te 0.000 0.000 0.000
Zn 0.500 0.500 0.500

Going by the energies, <Q> is most stable and the next is 0.572 eV/atom up.

<P>
## ZnTeI2O (PBE)

Data for a relaxed structure of ZnTeI2O.

Summary:
Space-group type: P4/mmm
Total moment: 0.00 μB per atom

a = 5.890 Å, b = 5.890 Å, c = 3.688 Å
α = 90.00°, β = 90.00°, γ = 90.00°
Sites, in units of the cell vectors:
I 0.000 0.500 0.000
I 0.500 0.000 0.000
Zn 0.000 0.000 0.000
O 0.000 0.000 0.500
Te 0.500 0.500 0.500

<Q>
## ZnTeI2O (PBE)

Data for a relaxed structure of ZnTeI2O.

Summary:
Space-group type: P4/mmm
Total moment: 0.00 μB per atom

a = 5.292 Å, b = 5.292 Å, c = 4.565 Å
α = 90.00°, β = 90.00°, γ = 90.00°
Sites, in units of the cell vectors:
I 0.000 0.500 0.000
I 0.500 0.000 0.000
Zn 0.500 0.500 0.500
Te 0.000 0.000 0.500
O 0.000 0.000 0.000

Going by the energies, <P> is most stable and the next is 0.385 eV/atom up.

<P>
## ZrTeIO2 (PBE)

Data for a relaxed structure of ZrTeIO2.

Summary:
Space-group type: P4/mmm
Total moment: 0.00 μB per atom

a = 4.191 Å, b = 4.191 Å, c = 6.637 Å
α = 90.00°, β = 90.00°, γ = 90.00°
Sites, in units of the cell vectors:
O 0.000 0.500 0.000
O 0.500 0.000 0.000
Zr 0.000 0.000 0.000
Te 0.500 0.500 0.500
I 0.000 0.000 0.500

<Q>
## ZrTeIO2 (PBE)

Data for a relaxed structure of ZrTeIO2.

Summary:
Space-group type: P4/mmm
Total moment: 0.40 μB per atom

a = 4.175 Å, b = 4.175 Å, c = 6.426 Å
α = 90.00°, β = 90.00°, γ = 90.00°
Each line ends with the local moment (μB).
Sites, in units of the cell vectors:
I 0.000 0.000 0.500  -0.02
Zr 0.500 0.500 0.500  1.25
O 0.500 0.000 0.000  0.03
O 0.000 0.500 0.000  0.03
Te 0.000 0.000 0.000  0.06

Going by the energies, <P> is most stable and the next is 1.201 eV/atom up.

<P>
## TiI2O2 (PBE)

Data for a relaxed structure of TiI2O2.

Summary:
Space-group type: P4/mmm
Total moment: 0.00 μB per atom

a = 4.088 Å, b = 4.088 Å, c = 6.086 Å
α = 90.00°, β = 90.00°, γ = 90.00°
Sites, in units of the cell vectors:
I 0.500 0.500 0.500
I 0.000 0.000 0.500
O 0.000 0.500 0.000
O 0.500 0.000 0.000
Ti 0.000 0.000 0.000

<Q>
## TiI2O2 (PBE)

Data for a relaxed structure of TiI2O2.

Summary:
Space-group type: P4/mmm
Total moment: 0.01 μB per atom

a = 5.550 Å, b = 5.550 Å, c = 3.706 Å
α = 90.00°, β = 90.00°, γ = 90.00°
Each line ends with the local moment (μB).
Sites, in units of the cell vectors:
O 0.500 0.500 0.500  0.04
O 0.000 0.000 0.500  -0.01
I 0.000 0.500 0.000  -0.07
I 0.500 0.000 0.000  -0.07
Ti 0.000 0.000 0.000  0.07

Going by the energies, <P> is most stable and the next is 0.455 eV/atom up.

<P>
## TiI2O2 (PBE)

Data for a relaxed structure of TiI2O2.

Summary:
Space-group type: P4/mmm
Total moment: 0.00 μB per atom

a = 4.834 Å, b = 4.834 Å, c = 3.913 Å
α = 90.00°, β = 90.00°, γ = 90.00°
Sites, in units of the cell vectors:
I 0.000 0.500 0.000
I 0.500 0.000 0.000
O 0.000 0.000 0.500
O 0.000 0.000 0.000
Ti 0.500 0.500 0.500

<Q>
## TiI2O2 (PBE)

Data for a relaxed structure of TiI2O2.

Summary:
Space-group type: P4/mmm
Total moment: 0.49 μB per atom

a = 4.115 Å, b = 4.115 Å, c = 7.346 Å
α = 90.00°, β = 90.00°, γ = 90.00°
Each line ends with the local moment (μB).
Sites, in units of the cell vectors:
I 0.000 0.000 0.000  -0.03
I 0.000 0.000 0.500  -0.03
O 0.500 0.000 0.000  -0.01
O 0.000 0.500 0.000  -0.01
Ti 0.500 0.500 0.500  2.02

Going by the energies, <Q> is most stable and the next is 0.406 eV/atom up.

<P>
## TiI2O8 (PBE)

Data for a relaxed structure of TiI2O8.

Summary:
Space-group type: C2/m
Total moment: 0.00 μB per atom

a = 4.732 Å, b = 6.256 Å, c = 6.256 Å
α = 87.90°, β = 79.71°, γ = 79.71°
Sites, in units of the cell vectors:
O 0.351 0.817 0.817
O 0.172 0.267 0.970
O 0.636 0.515 0.515
O 0.828 0.733 0.030
O 0.649 0.183 0.183
O 0.364 0.485 0.485
O 0.828 0.030 0.733
O 0.172 0.970 0.267
I 0.747 0.737 0.737
I 0.253 0.263 0.263
Ti 0.000 0.000 0.000

<Q>
## TiI2O8 (PBE)

Data for a relaxed structure of TiI2O8.

Summary:
Space-group type: C2/m
Total moment: 0.00 μB per atom

a = 5.461 Å, b = 6.379 Å, c = 5.555 Å
α = 125.03°, β = 93.19°, γ = 90.01°
Sites, in units of the cell vectors:
O 0.604 0.379 0.757
O 0.798 0.896 0.195
O 0.797 0.299 0.194
O 0.203 0.701 0.806
O 0.202 0.104 0.805
O 0.760 0.823 0.647
O 0.240 0.177 0.353
O 0.396 0.621 0.243
I 0.736 0.620 0.240
I 0.264 0.380 0.760
Ti 0.000 0.000 0.000

Going by the energies, <Q> is most stable and the next is 0.045 eV/atom up.